1.
# ReAg3, optimized geometry, DFT PBE-GGA
data_ReAg3
_cell_length_a 6.696
_cell_length_b 6.696
_cell_length_c 6.696
_cell_angle_alpha 136.30
_cell_angle_beta 136.30
_cell_angle_gamma 63.52
_symmetry_space_group_name_H-M 'P 1'
_symmetry_Int_Tables_number 1
loop_
_symmetry_equiv_pos_as_xyz
'x,y,z'
loop_
_atom_site_label
_atom_site_fract_x
_atom_site_fract_y
_atom_site_fract_z
_atom_site_occupancy
Re1 0.102 0.102 0.000 1
Re2 0.898 0.898 0.000 1
Ag1 0.000 0.500 0.500 1
Ag2 0.250 0.750 0.500 1
Ag3 0.369 0.369 0.000 1
Ag4 0.500 0.000 0.500 1
Ag5 0.631 0.631 0.000 1
Ag6 0.750 0.250 0.500 1
# Distance to the lowest polymorph of the same formula, meV/atom: 269
# DFT formation energy, kcal/mol of atoms: 15.155
# Calculated volume, Å³ per cell: 141
# SG: I4/mmm, No. 139
# Total energy, eV for the cell shown: -36.75

2.
# Pr2TmSc, optimized geometry, DFT PBE-GGA
data_Pr2TmSc
_cell_length_a 3.647
_cell_length_b 3.647
_cell_length_c 9.458
_cell_angle_alpha 90.00
_cell_angle_beta 90.00
_cell_angle_gamma 90.00
_symmetry_space_group_name_H-M 'P 1'
_symmetry_Int_Tables_number 1
loop_
_symmetry_equiv_pos_as_xyz
'x,y,z'
loop_
_atom_site_label
_atom_site_fract_x
_atom_site_fract_y
_atom_site_fract_z
_atom_site_occupancy
Pr1 0.000 0.000 0.240 1
Pr2 0.000 0.000 0.760 1
Tm1 0.500 0.500 0.500 1
Sc1 0.500 0.500 0.000 1
# Distance to the lowest polymorph of the same formula, meV/atom: 0
# DFT formation energy, kcal/mol of atoms: 0.908
# Calculated volume, Å³ per cell: 126
# SG: P4/mmm, No. 123
# Total energy, eV for the cell shown: -20.20

3.
# RbRe3Te, optimized geometry, DFT PBE-GGA
data_RbRe3Te
_cell_length_a 4.782
_cell_length_b 4.782
_cell_length_c 4.782
_cell_angle_alpha 90.00
_cell_angle_beta 90.00
_cell_angle_gamma 90.00
_symmetry_space_group_name_H-M 'P 1'
_symmetry_Int_Tables_number 1
loop_
_symmetry_equiv_pos_as_xyz
'x,y,z'
loop_
_atom_site_label
_atom_site_fract_x
_atom_site_fract_y
_atom_site_fract_z
_atom_site_occupancy
Rb1 0.000 0.000 0.000 1
Re1 0.000 0.000 0.500 1
Re2 0.000 0.500 0.000 1
Re3 0.500 0.000 0.000 1
Te1 0.500 0.500 0.500 1
# Distance to the lowest polymorph of the same formula, meV/atom: 1521
# Calculated volume, Å³ per cell: 109
# Raw formation energy, meV per atom: 4053
# SG: Pm-3m, No. 221
# Total energy, eV for the cell shown: -21.19

4.
# TbAg2F6, optimized geometry, DFT PBE-GGA
data_TbAg2F6
_cell_length_a 6.487
_cell_length_b 6.487
_cell_length_c 7.283
_cell_angle_alpha 123.04
_cell_angle_beta 123.04
_cell_angle_gamma 36.21
_symmetry_space_group_name_H-M 'P 1'
_symmetry_Int_Tables_number 1
loop_
_symmetry_equiv_pos_as_xyz
'x,y,z'
loop_
_atom_site_label
_atom_site_fract_x
_atom_site_fract_y
_atom_site_fract_z
_atom_site_occupancy
Tb1 0.000 0.000 0.000 1
Ag1 0.175 0.175 0.630 1
Ag2 0.825 0.825 0.370 1
F1 0.024 0.024 0.709 1
F2 0.204 0.204 0.329 1
F3 0.387 0.387 0.961 1
F4 0.613 0.613 0.039 1
F5 0.796 0.796 0.671 1
F6 0.976 0.976 0.291 1
# Distance to the lowest polymorph of the same formula, meV/atom: 22
# Calculated volume, Å³ per cell: 148
# Raw formation energy, meV per atom: -2392
# SG: C2/m, No. 12
# Total energy, eV for the cell shown: -43.09